[1]
Density functional theory data (GGA-PBE) for a geometry-optimized RbDyErTe3 structure.

Calculated values
Total magnetic moment (μB per cell): 0.17
Calculated total energy (eV/atom): -4.464

```
12
Lattice="2.3391 -8.4326 0.0000 2.3391 8.4326 0.0000 0.0000 0.0000 11.8310" Properties=species:S:1:pos:R:3 pbc="T T T"
Rb 2.3391 4.3002 8.8733
Rb 2.3391 -4.3002 2.9578
Dy 2.3391 0.0000 0.0000
Dy 2.3391 0.0000 5.9155
Er 2.3391 7.8442 2.9578
Er 2.3391 -7.8442 8.8733
Te 2.3391 6.3141 0.5095
Te 2.3391 6.3141 5.4060
Te 2.3391 1.1649 2.9578
Te 2.3391 -1.1649 8.8733
Te 2.3391 -6.3141 6.4250
Te 2.3391 -6.3141 11.3215
```

[2]
Density functional theory data (GGA-PBE) for a geometry-optimized Hf2HgPb2 structure.

Calculated values
Total magnetic moment (μB per cell): 0.02
Calculated total energy (eV/atom): -5.038
Energy above the lowest structure with this stoichiometry (meV per atom): 0.0

```
10
Lattice="4.3649 0.0000 0.0000 0.0000 4.3649 0.0000 0.0000 0.0000 13.4320" Properties=species:S:1:pos:R:3 pbc="T T T"
Hf 0.0000 0.0000 1.3016
Hf 0.0000 0.0000 12.1304
Hf 2.1824 2.1824 5.4144
Hf 2.1824 2.1824 8.0176
Hg 0.0000 0.0000 6.7160
Hg 2.1824 2.1824 0.0000
Pb 0.0000 2.1824 3.3580
Pb 0.0000 2.1824 10.0740
Pb 2.1824 0.0000 3.3580
Pb 2.1824 0.0000 10.0740
```

[3]
Density functional theory data (GGA-PBE) for a geometry-optimized ZrInNO structure.

Calculated values
Total magnetic moment (μB per cell): 0.00
Calculated total energy (eV/atom): -7.204
Energy above the lowest structure with this stoichiometry (meV per atom): 310.0

```
16
Lattice="5.8402 0.0000 0.0000 0.0000 5.8527 0.0000 0.0000 0.0000 7.4287" Properties=species:S:1:pos:R:3 pbc="T T T"
Zr 1.4601 0.0000 0.0000
Zr 1.4601 2.9263 0.0000
Zr 4.3802 0.0000 0.0000
Zr 4.3802 2.9263 0.0000
In 0.0000 1.4632 2.8042
In 0.0000 4.3895 4.6245
In 2.9201 1.4632 4.6245
In 2.9201 4.3895 2.8042
N 0.0000 1.4632 6.7529
N 0.0000 4.3895 0.6759
N 2.9201 1.4632 0.6759
N 2.9201 4.3895 6.7529
O 1.4601 0.0000 3.7144
O 1.4601 2.9263 3.7144
O 4.3802 0.0000 3.7144
O 4.3802 2.9263 3.7144
```

[4]
Density functional theory data (GGA-PBE) for a geometry-optimized Ag2HgI4 structure.

Calculated values
Calculated total energy (eV/atom): -2.019

```
7
Lattice="6.4352 0.0000 0.0000 -0.0077 6.4403 0.0000 -3.1917 -3.1939 6.4615" Properties=species:S:1:pos:R:3 pbc="T T T"
Ag 0.0000 0.0000 0.0000
Ag 0.0193 3.2368 3.2254
Hg 0.0458 -0.0005 6.4484
I -1.6891 1.5288 4.7522
I 1.7123 1.4979 1.7234
I 1.7592 -1.4901 4.7175
I 4.7211 4.9322 1.7197
```

[5]
Density functional theory data (GGA-PBE) for a geometry-optimized ZnCdGa structure.

Calculated values
Calculated total energy (eV/atom): -1.656

```
12
Lattice="6.2714 0.0000 0.0000 0.0000 6.2714 0.0000 0.0000 0.0000 6.2714" Properties=species:S:1:pos:R:3 pbc="T T T"
Zn 0.0000 0.0000 0.0000
Zn 0.0000 3.1357 3.1357
Zn 3.1357 0.0000 3.1357
Zn 3.1357 3.1357 0.0000
Cd 0.0000 0.0000 3.1357
Cd 0.0000 3.1357 0.0000
Cd 3.1357 0.0000 0.0000
Cd 3.1357 3.1357 3.1357
Ga 1.5679 1.5679 4.7036
Ga 1.5679 4.7036 1.5679
Ga 4.7036 1.5679 1.5679
Ga 4.7036 4.7036 4.7036
```

[6]
Density functional theory data (GGA-PBE) for a geometry-optimized Dy2BiClO4 structure.

Calculated values
Total magnetic moment (μB per cell): 0.01
Calculated total energy (eV/atom): -6.811

```
8
Lattice="3.9366 0.0000 0.0000 0.0000 3.9366 0.0000 0.0000 0.0000 8.9432" Properties=species:S:1:pos:R:3 pbc="T T T"
Dy 0.0000 0.0000 2.0818
Dy 0.0000 0.0000 6.8614
Bi 1.9683 1.9683 4.4716
Cl 1.9683 1.9683 0.0000
O 0.0000 1.9683 2.9859
O 0.0000 1.9683 5.9573
O 1.9683 0.0000 2.9859
O 1.9683 0.0000 5.9573
```

[7]
Density functional theory data (GGA-PBE) for a geometry-optimized LiSc2Pt3 structure.

Calculated values
Total magnetic moment (μB per cell): 0.00
Calculated total energy (eV/atom): -6.551

```
6
Lattice="3.3287 0.0000 0.0000 0.0000 3.3287 0.0000 0.0000 0.0000 8.8890" Properties=species:S:1:pos:R:3 pbc="T T T"
Li 0.0000 0.0000 0.0000
Sc 0.0000 0.0000 2.8283
Sc 0.0000 0.0000 6.0607
Pt 1.6643 1.6643 1.3740
Pt 1.6643 1.6643 4.4445
Pt 1.6643 1.6643 7.5151
```

[8]
Density functional theory data (GGA-PBE) for a geometry-optimized ZnCu structure.

Calculated values
Calculated total energy (eV/atom): -2.549
Energy of formation from the pure elements (kJ/mol of formula units): -11

```
8
Lattice="4.2485 0.0000 0.0000 0.0000 5.2663 0.0000 0.0000 0.0000 4.5533" Properties=species:S:1:pos:R:3 pbc="T T T"
Zn 0.0000 0.0000 0.0000
Zn 0.0000 1.3636 2.2398
Zn 0.0000 3.9028 2.2398
Zn 2.1242 0.0000 3.0171
Cu 0.0000 2.6332 4.5286
Cu 2.1242 1.3364 0.7298
Cu 2.1242 2.6332 3.0232
Cu 2.1242 3.9299 0.7298
```

[9]
Density functional theory data (GGA-PBE) for a geometry-optimized ReNi2Ge structure.

Calculated values
Total magnetic moment (μB per cell): 0.14
Calculated total energy (eV/atom): -6.953

```
16
Lattice="5.8806 0.0000 0.0000 0.0000 5.8806 0.0000 0.0000 0.0000 5.8806" Properties=species:S:1:pos:R:3 pbc="T T T"
Re 0.0000 0.0000 0.0000
Re 0.0000 2.9403 2.9403
Re 2.9403 0.0000 2.9403
Re 2.9403 2.9403 0.0000
Ni 0.0000 0.0000 2.9403
Ni 0.0000 2.9403 0.0000
Ni 1.4702 1.4702 1.4702
Ni 1.4702 4.4105 4.4105
Ni 2.9403 0.0000 0.0000
Ni 2.9403 2.9403 2.9403
Ni 4.4105 1.4702 4.4105
Ni 4.4105 4.4105 1.4702
Ge 1.4702 1.4702 4.4105
Ge 1.4702 4.4105 1.4702
Ge 4.4105 1.4702 1.4702
Ge 4.4105 4.4105 4.4105
```

[10]
Density functional theory data (GGA-PBE) for a geometry-optimized InTc2C2 structure.

Calculated values
Total magnetic moment (μB per cell): 0.22
Calculated total energy (eV/atom): -7.961

```
5
Lattice="3.4681 0.0000 0.0000 -1.7340 3.0034 0.0000 0.0000 0.0000 6.6081" Properties=species:S:1:pos:R:3 pbc="T T T"
In 0.0000 0.0000 0.0000
Tc 0.0000 2.0023 4.3233
Tc 1.7340 1.0011 2.2847
C 0.0000 2.0023 2.1388
C 1.7340 1.0011 4.4693
```

[11]
Density functional theory data (GGA-PBE) for a geometry-optimized MgAg2 structure.

Calculated values
Calculated total energy (eV/atom): -1.985
Energy above the lowest structure with this stoichiometry (meV per atom): 497.0

```
6
Lattice="5.6072 0.0000 0.0000 0.0000 5.6072 0.0000 0.0000 0.0000 4.4970" Properties=species:S:1:pos:R:3 pbc="T T T"
Mg 0.0000 0.0000 0.0000
Mg 2.8036 2.8036 2.2485
Ag 0.9832 0.9832 2.2485
Ag 1.8204 3.7867 0.0000
Ag 3.7867 1.8204 0.0000
Ag 4.6240 4.6240 2.2485
```

[12]
Density functional theory data (GGA-PBE) for a geometry-optimized Rb3Pa2Sn structure.

Calculated values
Total magnetic moment (μB per cell): 5.25
Calculated total energy (eV/atom): -3.131

```
6
Lattice="6.1443 0.0000 0.0000 -3.0721 5.3211 0.0000 0.0000 0.0000 7.2949" Properties=species:S:1:pos:R:3 pbc="T T T"
Rb -1.5361 2.6605 0.0000
Rb 3.0721 0.0000 0.0000
Rb 1.5361 2.6605 0.0000
Pa 0.0000 3.5474 3.6813
Pa 3.0721 1.7737 3.6136
Sn 0.0000 0.0000 3.6475
```

[13]
Density functional theory data (GGA-PBE) for a geometry-optimized DyHo2Sc3Bi2Os structure.

Calculated values
Total magnetic moment (μB per cell): 0.01
Calculated total energy (eV/atom): -6.396

```
9
Lattice="4.2225 0.0000 0.0000 0.0000 6.8514 3.9555 0.0000 -6.8514 3.9555" Properties=species:S:1:pos:R:3 pbc="T T T"
Dy 0.0000 0.0000 0.0000
Ho 0.0000 -2.6458 3.3222
Ho 0.0000 2.6458 3.3222
Sc 2.1113 0.0000 3.0779
Sc 2.1113 -1.5285 5.7297
Sc 2.1113 1.5285 5.7297
Bi 2.1113 -4.5624 4.8508
Bi 2.1113 4.5624 4.8508
Os 0.0000 0.0000 4.8394
```

[14]
Density functional theory data (GGA-PBE) for a geometry-optimized TlGaNi structure.

Calculated values
Total magnetic moment (μB per cell): 0.04
Calculated total energy (eV/atom): -3.604
Energy above the lowest structure with this stoichiometry (meV per atom): 0.0

```
12
Lattice="6.0959 0.0000 0.0000 0.0000 6.0959 0.0000 0.0000 0.0000 6.0959" Properties=species:S:1:pos:R:3 pbc="T T T"
Tl 0.0000 0.0000 0.0000
Tl 0.0000 3.0480 3.0480
Tl 3.0480 0.0000 3.0480
Tl 3.0480 3.0480 0.0000
Ga 0.0000 0.0000 3.0480
Ga 0.0000 3.0480 0.0000
Ga 3.0480 0.0000 0.0000
Ga 3.0480 3.0480 3.0480
Ni 1.5240 1.5240 4.5720
Ni 1.5240 4.5720 1.5240
Ni 4.5720 1.5240 1.5240
Ni 4.5720 4.5720 4.5720
```

[15]
Density functional theory data (GGA-PBE) for a geometry-optimized HoHfCSe structure.

Calculated values
Total magnetic moment (μB per cell): 0.00
Calculated total energy (eV/atom): -7.971
Energy above the lowest structure with this stoichiometry (meV per atom): 0.0

```
8
Lattice="3.5498 0.0000 0.0000 -1.7749 3.0742 0.0000 0.0000 0.0000 12.9430" Properties=species:S:1:pos:R:3 pbc="T T T"
Ho 0.0000 2.0495 0.0000
Ho 1.7749 1.0247 6.4715
Hf 0.0000 2.0495 9.0011
Hf 1.7749 1.0247 2.5296
C 0.0000 0.0000 1.4319
C 0.0000 0.0000 7.9034
Se 0.0000 2.0495 4.4009
Se 1.7749 1.0247 10.8724
```

[16]
Density functional theory data (GGA-PBE) for a geometry-optimized ZrNiSnMo structure.

Calculated values
Total magnetic moment (μB per cell): 0.07
Calculated total energy (eV/atom): -7.280

```
16
Lattice="6.5161 0.0000 0.0000 0.0000 6.5161 0.0000 0.0000 0.0000 6.5161" Properties=species:S:1:pos:R:3 pbc="T T T"
Zr 0.0000 0.0000 0.0000
Zr 0.0000 3.2580 3.2580
Zr 3.2580 0.0000 3.2580
Zr 3.2580 3.2580 0.0000
Ni 1.6290 1.6290 4.8870
Ni 1.6290 4.8870 1.6290
Ni 4.8870 1.6290 1.6290
Ni 4.8870 4.8870 4.8870
Sn 0.0000 0.0000 3.2580
Sn 0.0000 3.2580 0.0000
Sn 3.2580 0.0000 0.0000
Sn 3.2580 3.2580 3.2580
Mo 1.6290 1.6290 1.6290
Mo 1.6290 4.8870 4.8870
Mo 4.8870 1.6290 4.8870
Mo 4.8870 4.8870 1.6290
```

[17]
Density functional theory data (GGA-PBE) for a geometry-optimized TbPrNp structure.

Calculated values
Total magnetic moment (μB per cell): 21.77
Calculated total energy (eV/atom): -6.251
Energy of formation from the pure elements (kJ/mol of formula units): 330

```
12
Lattice="7.3043 0.0000 0.0000 0.0000 7.3043 0.0000 0.0000 0.0000 7.3043" Properties=species:S:1:pos:R:3 pbc="T T T"
Tb 0.0000 0.0000 0.0000
Tb 0.0000 3.6521 3.6521
Tb 3.6521 0.0000 3.6521
Tb 3.6521 3.6521 0.0000
Pr 1.8261 1.8261 5.4782
Pr 1.8261 5.4782 1.8261
Pr 5.4782 1.8261 1.8261
Pr 5.4782 5.4782 5.4782
Np 0.0000 0.0000 3.6521
Np 0.0000 3.6521 0.0000
Np 3.6521 0.0000 0.0000
Np 3.6521 3.6521 3.6521
```

[18]
Density functional theory data (GGA-PBE) for a geometry-optimized ScNb2Tl structure.

Calculated values
Total magnetic moment (μB per cell): 0.04
Calculated total energy (eV/atom): -7.076

```
16
Lattice="6.8200 0.0000 0.0000 0.0000 6.8200 0.0000 0.0000 0.0000 6.8200" Properties=species:S:1:pos:R:3 pbc="T T T"
Sc 0.0000 0.0000 0.0000
Sc 0.0000 3.4100 3.4100
Sc 3.4100 0.0000 3.4100
Sc 3.4100 3.4100 0.0000
Nb 0.0000 0.0000 3.4100
Nb 0.0000 3.4100 0.0000
Nb 1.7050 1.7050 1.7050
Nb 1.7050 5.1150 5.1150
Nb 3.4100 0.0000 0.0000
Nb 3.4100 3.4100 3.4100
Nb 5.1150 1.7050 5.1150
Nb 5.1150 5.1150 1.7050
Tl 1.7050 1.7050 5.1150
Tl 1.7050 5.1150 1.7050
Tl 5.1150 1.7050 1.7050
Tl 5.1150 5.1150 5.1150
```

[19]
Density functional theory data (GGA-PBE) for a geometry-optimized MgScAuS3 structure.

Calculated values
Total magnetic moment (μB per cell): 0.01
Calculated total energy (eV/atom): -5.070

```
12
Lattice="1.8955 -6.6351 0.0000 1.8955 6.6351 0.0000 0.0000 0.0000 9.9364" Properties=species:S:1:pos:R:3 pbc="T T T"
Mg 1.8955 4.2998 7.4523
Mg 1.8955 -4.2998 2.4841
Sc 1.8955 0.0000 0.0000
Sc 1.8955 0.0000 4.9682
Au 1.8955 4.5392 2.4841
Au 1.8955 -4.5392 7.4523
S 1.8955 4.8447 0.1799
S 1.8955 4.8447 4.7883
S 1.8955 0.7209 2.4841
S 1.8955 -0.7209 7.4523
S 1.8955 -4.8447 5.1481
S 1.8955 -4.8447 9.7565
```

[20]
Density functional theory data (GGA-PBE) for a geometry-optimized Rb2ZrGaBr6 structure.

Calculated values
Total magnetic moment (μB per cell): 1.00
Calculated total energy (eV/atom): -3.657

```
10
Lattice="0.0000 5.6941 5.6941 5.6941 0.0000 5.6941 5.6941 5.6941 0.0000" Properties=species:S:1:pos:R:3 pbc="T T T"
Rb 2.8471 2.8471 2.8471
Rb 8.5412 8.5412 8.5412
Zr 0.0000 0.0000 0.0000
Ga 5.6941 5.6941 5.6941
Br 5.6941 5.6941 2.7128
Br 5.6941 2.7128 5.6941
Br 8.6755 5.6941 5.6941
Br 2.7128 5.6941 5.6941
Br 5.6941 8.6755 5.6941
Br 5.6941 5.6941 8.6755
```